A plane-wave DFT calculation with PBE was carried out for a relaxed PCl3 crystal.

Unit cell a=7.4107 b=7.4107 c=7.4129 alpha=60.01 beta=60.01 gamma=90.00
Closest atoms and distances in Å follow each position.
Fractional coordinates of all 8 atoms:
1 Cl 0.3750 0.6254 0.7500  2 P 2.27
2 P 0.2500 0.7500 0.5000  4 Cl 2.27
3 Cl 0.8750 0.6246 0.7500  2 P 2.27
4 Cl 0.7500 0.2500 0.5000  16 Cl 4.34-4.54, 4 P 4.54
5 Cl 0.3746 0.1250 0.2500  2 P 2.27
6 P 0.5000 0.5000 0.0000  4 Cl 2.27
7 Cl 0.0000 0.0000 0.0000  16 Cl 4.34-4.54, 4 P 4.54
8 Cl 0.3754 0.6250 0.2500  2 P 2.27

Values from the calculation:
Raw total energy in eV per cell: -20.2